1.
Entry from Alexandria via LeMat-Bulk: a geometry-optimized Re3WSe structure (PBE-GGA).

Properties
**M_tot**: 0.00 μB per formula unit
**ΔE_f (raw)**: 1.89 eV/atom
**VASP energy**: -8.871 eV/atom

The structure in CIF format:
```
data_Re3WSe
_cell_length_a 4.477
_cell_length_b 4.477
_cell_length_c 4.477
_cell_angle_alpha 90.00
_cell_angle_beta 90.00
_cell_angle_gamma 90.00
_symmetry_space_group_name_H-M 'P 1'
_symmetry_Int_Tables_number 1
loop_
_symmetry_equiv_pos_as_xyz
'x,y,z'
loop_
_atom_site_label
_atom_site_type_symbol
_atom_site_fract_x
_atom_site_fract_y
_atom_site_fract_z
Re1 Re 0.000 0.000 0.500
Re2 Re 0.000 0.500 0.000
Re3 Re 0.500 0.000 0.000
W1 W 0.500 0.500 0.500
Se1 Se 0.000 0.000 0.000
```

2.
Entry from Alexandria via LeMat-Bulk: a geometry-optimized Pm2Pu3N4 structure (PBE-GGA).

Properties
**M_tot**: 16.19 μB per formula unit
**ΔE_f (raw)**: -1.12 eV/atom
**VASP energy**: -10.657 eV/atom

The structure in CIF format:
```
data_Pm2Pu3N4
_cell_length_a 6.143
_cell_length_b 6.143
_cell_length_c 8.708
_cell_angle_alpha 118.54
_cell_angle_beta 118.54
_cell_angle_gamma 33.45
_symmetry_space_group_name_H-M 'P 1'
_symmetry_Int_Tables_number 1
loop_
_symmetry_equiv_pos_as_xyz
'x,y,z'
loop_
_atom_site_label
_atom_site_type_symbol
_atom_site_fract_x
_atom_site_fract_y
_atom_site_fract_z
Pm1 Pm 0.105 0.105 0.388
Pm2 Pm 0.895 0.895 0.612
Pu1 Pu 0.296 0.296 0.192
Pu2 Pu 0.500 0.500 0.000
Pu3 Pu 0.704 0.704 0.808
N1 N 0.109 0.109 0.918
N2 N 0.299 0.299 0.707
N3 N 0.701 0.701 0.293
N4 N 0.891 0.891 0.082
```

3.
Entry from Alexandria via LeMat-Bulk: a geometry-optimized In2PdPt2 structure (PBE-GGA).

Properties
**M_tot**: 0.00 μB per formula unit
**Formation energy**: -192 meV per atom
**VASP energy**: -4.743 eV/atom

The structure in CIF format:
```
data_In2PdPt2
_cell_length_a 3.788
_cell_length_b 3.788
_cell_length_c 13.803
_cell_angle_alpha 90.00
_cell_angle_beta 90.00
_cell_angle_gamma 90.00
_symmetry_space_group_name_H-M 'P 1'
_symmetry_Int_Tables_number 1
loop_
_symmetry_equiv_pos_as_xyz
'x,y,z'
loop_
_atom_site_label
_atom_site_type_symbol
_atom_site_fract_x
_atom_site_fract_y
_atom_site_fract_z
In1 In 0.000 0.000 0.104
In2 In 0.000 0.000 0.896
In3 In 0.500 0.500 0.396
In4 In 0.500 0.500 0.604
Pd1 Pd 0.000 0.000 0.500
Pd2 Pd 0.500 0.500 0.000
Pt1 Pt 0.000 0.500 0.250
Pt2 Pt 0.000 0.500 0.750
Pt3 Pt 0.500 0.000 0.250
Pt4 Pt 0.500 0.000 0.750
```

4.
Entry from Alexandria via LeMat-Bulk: a geometry-optimized LaYRe2 structure (PBE-GGA).

Properties
**M_tot**: 0.00 μB per formula unit
**Formation energy**: 638 meV per atom
**VASP energy**: -8.434 eV/atom

The structure in CIF format:
```
data_LaYRe2
_cell_length_a 7.000
_cell_length_b 7.000
_cell_length_c 7.000
_cell_angle_alpha 90.00
_cell_angle_beta 90.00
_cell_angle_gamma 90.00
_symmetry_space_group_name_H-M 'P 1'
_symmetry_Int_Tables_number 1
loop_
_symmetry_equiv_pos_as_xyz
'x,y,z'
loop_
_atom_site_label
_atom_site_type_symbol
_atom_site_fract_x
_atom_site_fract_y
_atom_site_fract_z
La1 La 0.000 0.000 0.000
La2 La 0.000 0.500 0.500
La3 La 0.500 0.000 0.500
La4 La 0.500 0.500 0.000
Y1 Y 0.000 0.000 0.500
Y2 Y 0.000 0.500 0.000
Y3 Y 0.500 0.000 0.000
Y4 Y 0.500 0.500 0.500
Re1 Re 0.250 0.250 0.250
Re2 Re 0.250 0.250 0.750
Re3 Re 0.250 0.750 0.250
Re4 Re 0.250 0.750 0.750
Re5 Re 0.750 0.250 0.250
Re6 Re 0.750 0.250 0.750
Re7 Re 0.750 0.750 0.250
Re8 Re 0.750 0.750 0.750
```

5.
Entry from Alexandria via LeMat-Bulk: a geometry-optimized Na2SrAs structure (PBE-GGA).

Properties
**M_tot**: 0.00 μB per formula unit
**Formation energy**: -335 meV per atom
**VASP energy**: -2.577 eV/atom

The structure in CIF format:
```
data_Na2SrAs
_cell_length_a 4.571
_cell_length_b 4.571
_cell_length_c 23.605
_cell_angle_alpha 90.00
_cell_angle_beta 90.00
_cell_angle_gamma 90.00
_symmetry_space_group_name_H-M 'P 1'
_symmetry_Int_Tables_number 1
loop_
_symmetry_equiv_pos_as_xyz
'x,y,z'
loop_
_atom_site_label
_atom_site_type_symbol
_atom_site_fract_x
_atom_site_fract_y
_atom_site_fract_z
Na1 Na 0.201 0.250 0.125
Na2 Na 0.250 0.701 0.375
Na3 Na 0.250 0.799 0.875
Na4 Na 0.299 0.250 0.625
Na5 Na 0.701 0.750 0.625
Na6 Na 0.750 0.201 0.875
Na7 Na 0.750 0.299 0.375
Na8 Na 0.799 0.750 0.125
Sr1 Sr 0.000 0.000 0.500
Sr2 Sr 0.000 0.500 0.750
Sr3 Sr 0.500 0.000 0.250
Sr4 Sr 0.500 0.500 0.000
As1 As 0.000 0.000 0.000
As2 As 0.000 0.500 0.250
As3 As 0.500 0.000 0.750
As4 As 0.500 0.500 0.500
```

6.
Entry from Alexandria via LeMat-Bulk: a geometry-optimized CaPr6Nd5 structure (PBE-GGA).

Properties
**M_tot**: 0.00 μB per formula unit
**Formation energy**: 24 meV per atom
**VASP energy**: -4.519 eV/atom

The structure in CIF format:
```
data_CaPr6Nd5
_cell_length_a 6.441
_cell_length_b 6.441
_cell_length_c 12.259
_cell_angle_alpha 95.02
_cell_angle_beta 95.02
_cell_angle_gamma 120.05
_symmetry_space_group_name_H-M 'P 1'
_symmetry_Int_Tables_number 1
loop_
_symmetry_equiv_pos_as_xyz
'x,y,z'
loop_
_atom_site_label
_atom_site_type_symbol
_atom_site_fract_x
_atom_site_fract_y
_atom_site_fract_z
Ca1 Ca 0.000 0.000 0.000
Pr1 Pr 0.083 0.422 0.252
Pr2 Pr 0.255 0.255 0.747
Pr3 Pr 0.422 0.083 0.252
Pr4 Pr 0.578 0.917 0.748
Pr5 Pr 0.745 0.745 0.253
Pr6 Pr 0.917 0.578 0.748
Nd1 Nd 0.166 0.834 0.500
Nd2 Nd 0.333 0.667 0.000
Nd3 Nd 0.500 0.500 0.500
Nd4 Nd 0.667 0.333 0.000
Nd5 Nd 0.834 0.166 0.500
```

7.
Entry from Alexandria via LeMat-Bulk: a geometry-optimized Zr2NpUP4 structure (PBE-GGA).

Properties
**M_tot**: 5.52 μB per formula unit
**Formation energy**: -1199 meV per atom
**VASP energy**: -9.070 eV/atom

The structure in CIF format:
```
data_Zr2NpUP4
_cell_length_a 6.610
_cell_length_b 3.822
_cell_length_c 6.687
_cell_angle_alpha 90.00
_cell_angle_beta 109.27
_cell_angle_gamma 90.00
_symmetry_space_group_name_H-M 'P 1'
_symmetry_Int_Tables_number 1
loop_
_symmetry_equiv_pos_as_xyz
'x,y,z'
loop_
_atom_site_label
_atom_site_type_symbol
_atom_site_fract_x
_atom_site_fract_y
_atom_site_fract_z
Zr1 Zr 0.000 0.000 0.000
Zr2 Zr 0.500 0.500 0.000
Np1 Np 0.000 0.500 0.500
U1 U 0.500 0.000 0.500
P1 P 0.248 0.500 0.240
P2 P 0.254 0.000 0.760
P3 P 0.746 0.000 0.240
P4 P 0.752 0.500 0.760
```

8.
Entry from Alexandria via LeMat-Bulk: a geometry-optimized Rb2ZrGe structure (PBE-GGA).

Properties
**M_tot**: 1.69 μB per formula unit
**Formation energy**: 574 meV per atom
**VASP energy**: -3.201 eV/atom

The structure in CIF format:
```
data_Rb2ZrGe
_cell_length_a 13.603
_cell_length_b 13.603
_cell_length_c 5.225
_cell_angle_alpha 90.00
_cell_angle_beta 90.00
_cell_angle_gamma 90.00
_symmetry_space_group_name_H-M 'P 1'
_symmetry_Int_Tables_number 1
loop_
_symmetry_equiv_pos_as_xyz
'x,y,z'
loop_
_atom_site_label
_atom_site_type_symbol
_atom_site_fract_x
_atom_site_fract_y
_atom_site_fract_z
Rb1 Rb 0.074 0.250 0.125
Rb2 Rb 0.250 0.574 0.375
Rb3 Rb 0.250 0.926 0.875
Rb4 Rb 0.426 0.250 0.625
Rb5 Rb 0.574 0.750 0.625
Rb6 Rb 0.750 0.074 0.875
Rb7 Rb 0.750 0.426 0.375
Rb8 Rb 0.926 0.750 0.125
Zr1 Zr 0.000 0.000 0.500
Zr2 Zr 0.000 0.500 0.750
Zr3 Zr 0.500 0.000 0.250
Zr4 Zr 0.500 0.500 0.000
Ge1 Ge 0.000 0.000 0.000
Ge2 Ge 0.000 0.500 0.250
Ge3 Ge 0.500 0.000 0.750
Ge4 Ge 0.500 0.500 0.500
```

9.
Entry from Alexandria via LeMat-Bulk: a geometry-optimized Mg2Pt2Rh structure (PBE-GGA).

Properties
**M_tot**: 0.81 μB per formula unit
**Formation energy**: 831 meV per atom
**VASP energy**: -3.693 eV/atom

The structure in CIF format:
```
data_Mg2Pt2Rh
_cell_length_a 4.531
_cell_length_b 4.531
_cell_length_c 4.737
_cell_angle_alpha 90.00
_cell_angle_beta 90.00
_cell_angle_gamma 90.00
_symmetry_space_group_name_H-M 'P 1'
_symmetry_Int_Tables_number 1
loop_
_symmetry_equiv_pos_as_xyz
'x,y,z'
loop_
_atom_site_label
_atom_site_type_symbol
_atom_site_fract_x
_atom_site_fract_y
_atom_site_fract_z
Mg1 Mg 0.000 0.000 0.000
Mg2 Mg 0.000 0.000 0.500
Pt1 Pt 0.000 0.500 0.000
Pt2 Pt 0.500 0.000 0.000
Rh1 Rh 0.500 0.500 0.500
```

10.
Entry from Alexandria via LeMat-Bulk: a geometry-optimized MgZnGa4 structure (PBE-GGA).

Properties
**M_tot**: 0.00 μB per formula unit
**Formation energy**: -14 meV per atom
**VASP energy**: -2.510 eV/atom

The structure in CIF format:
```
data_MgZnGa4
_cell_length_a 3.164
_cell_length_b 4.076
_cell_length_c 8.571
_cell_angle_alpha 90.00
_cell_angle_beta 91.27
_cell_angle_gamma 90.00
_symmetry_space_group_name_H-M 'P 1'
_symmetry_Int_Tables_number 1
loop_
_symmetry_equiv_pos_as_xyz
'x,y,z'
loop_
_atom_site_label
_atom_site_type_symbol
_atom_site_fract_x
_atom_site_fract_y
_atom_site_fract_z
Mg1 Mg 0.000 0.000 0.000
Zn1 Zn 0.500 0.500 0.500
Ga1 Ga 0.017 0.000 0.341
Ga2 Ga 0.491 0.500 0.820
Ga3 Ga 0.509 0.500 0.180
Ga4 Ga 0.983 0.000 0.659
```